# Na2Al2As3

Na2Al2As3 at its PBEsol-relaxed geometry (meta-GGA SCAN, Alexandria via LeMat-Bulk).

Spin magnetization: 0.00 μB/cell
Formation energy from the elements: -0.605 eV per atom

Unit cell a=13.077 b=6.677 c=14.413 alpha=90.00 beta=90.07 gamma=90.00
Sites, in units of the cell vectors:
Na 0.065 0.097 0.415
Na 0.065 0.403 0.915
Na 0.151 0.585 0.480
Na 0.151 0.915 0.980
Na 0.362 0.053 0.490
Na 0.362 0.447 0.990
Na 0.416 0.550 0.393
Na 0.416 0.950 0.893
Na 0.584 0.050 0.107
Na 0.584 0.450 0.607
Na 0.638 0.553 0.010
Na 0.638 0.947 0.510
Na 0.849 0.085 0.020
Na 0.849 0.415 0.520
Na 0.935 0.597 0.085
Na 0.935 0.903 0.585
Al 0.090 0.737 0.240
Al 0.090 0.763 0.740
Al 0.184 0.213 0.165
Al 0.184 0.287 0.665
Al 0.312 0.738 0.172
Al 0.312 0.762 0.672
Al 0.405 0.205 0.230
Al 0.405 0.295 0.730
Al 0.595 0.705 0.270
Al 0.595 0.795 0.770
Al 0.688 0.238 0.328
Al 0.688 0.262 0.828
Al 0.816 0.713 0.335
Al 0.816 0.787 0.835
Al 0.910 0.237 0.260
Al 0.910 0.263 0.760
As 0.020 0.030 0.157
As 0.020 0.470 0.657
As 0.162 0.552 0.103
As 0.162 0.948 0.603
As 0.248 0.659 0.830
As 0.248 0.841 0.330
As 0.249 0.218 0.326
As 0.249 0.282 0.826
As 0.339 0.049 0.085
As 0.339 0.451 0.585
As 0.469 0.530 0.172
As 0.469 0.970 0.672
As 0.531 0.030 0.328
As 0.531 0.470 0.828
As 0.661 0.549 0.415
As 0.661 0.951 0.915
As 0.751 0.718 0.174
As 0.751 0.782 0.674
As 0.752 0.159 0.670
As 0.752 0.341 0.170
As 0.838 0.052 0.397
As 0.838 0.448 0.897
As 0.980 0.530 0.343
As 0.980 0.970 0.843



# AlPt5

AlPt5 at its PBEsol-relaxed geometry (meta-GGA SCAN, Alexandria via LeMat-Bulk).

Spin magnetization: 1.02 μB/cell
Formation energy from the elements: -0.453 eV per atom

Unit cell a=2.775 b=2.775 c=11.426 alpha=90.00 beta=90.00 gamma=90.00
Sites, in units of the cell vectors:
Al 0.000 0.000 0.000
Pt 0.000 0.000 0.329
Pt 0.000 0.000 0.671
Pt 0.500 0.500 0.149
Pt 0.500 0.500 0.500
Pt 0.500 0.500 0.851



# Mn2CdPb

Mn2CdPb at its PBEsol-relaxed geometry (meta-GGA SCAN, Alexandria via LeMat-Bulk).

Spin magnetization: 8.06 μB/cell
Formation energy from the elements: 0.140 eV per atom

Unit cell a=4.823 b=4.823 c=5.452 alpha=100.66 beta=100.66 gamma=37.47
Sites, in units of the cell vectors:
Mn 0.249 0.249 0.221
Mn 0.751 0.751 0.779
Cd 0.500 0.500 0.000
Pb 0.000 0.000 0.500